First-principles (PBE-GGA) data for a relaxed Er5Hg2Pd12 crystal, as listed in the Alexandria database.

Cell: 16.498 5.588 9.575 Å, 90.00 114.94 90.00°
Space group C2/m (No. 12)
Asymmetric unit:
Er (0.000, 0.000, 0.000) [2 per cell]
Er (0.155, 0.500, 0.372) [4 per cell]
Er (0.186, 0.500, 0.878) [4 per cell]
Hg (0.000, 0.249, 0.500) [4 per cell]
Pd (0.010, 0.500, 0.867) [4 per cell]
Pd (0.115, 0.000, 0.821) [4 per cell]
Pd (0.157, 0.251, 0.109) [8 per cell]
Pd (0.188, 0.240, 0.630) [8 per cell]

The calculation puts the total magnetic moment at 0.0 μB per formula unit. The electronic total energy is -191.54 eV per cell.

=====

First-principles (PBE-GGA) data for a relaxed Er2HgPd6 crystal, as listed in the Alexandria database.

Cell: 8.271 7.720 5.344 Å, 90.00 98.69 90.00°
Space group C2/m (No. 12)
Asymmetric unit:
Er (0.193, 0.000, 0.132) [4 per cell]
Hg (0.000, 0.500, 0.500) [2 per cell]
Pd (0.000, 0.321, 0.000) [4 per cell]
Pd (0.154, 0.173, 0.645) [8 per cell]

The calculation puts the total magnetic moment at 0.0 μB per formula unit. The electronic total energy is -90.81 eV per cell.

=====

First-principles (PBE-GGA) data for a relaxed Er2Hg2Pd5 crystal, as listed in the Alexandria database.

Cell: 14.260 5.251 9.303 Å, 90.00 90.00 90.00°
Space group Ima2 (No. 46)
Asymmetric unit:
Er (0.126, 0.029, 0.000) [8 per cell]
Hg (0.000, 0.000, 0.499) [4 per cell]
Hg (0.250, 0.536, 0.001) [4 per cell]
Pd (0.045, 0.249, 0.749) [8 per cell]
Pd (0.152, 0.749, 0.751) [8 per cell]
Pd (0.250, 0.249, 0.751) [4 per cell]

The calculation puts the total magnetic moment at 0.0 μB per formula unit. The electronic total energy is -161.46 eV per cell.

=====

First-principles (PBE-GGA) data for a relaxed Er5HgPd4 crystal, as listed in the Alexandria database.

Cell: 3.497 3.497 17.885 Å, 90.00 90.00 90.00°
Space group P4/mmm (No. 123)
Asymmetric unit:
Er (0.000, 0.000, 0.000) [1 per cell]
Er (0.000, 0.000, 0.193) [2 per cell]
Er (0.000, 0.000, 0.385) [2 per cell]
Hg (0.500, 0.500, 0.500) [1 per cell]
Pd (0.500, 0.500, 0.097) [2 per cell]
Pd (0.500, 0.500, 0.292) [2 per cell]

The calculation puts the total magnetic moment at 0.0 μB per formula unit. The electronic total energy is -52.18 eV per cell.